Below is a relaxed Ce3Pm2PaN6 crystal, with properties calculated at the GGA-PBE level.

a = 6.178 Å, b = 6.178 Å, c = 6.192 Å
α = 99.55°, β = 99.55°, γ = 119.97°
Fractional coordinates of all 12 atoms:
1 Ce 0.000 0.000 0.000
2 Ce 0.332 0.668 0.000
3 Ce 0.668 0.332 0.000
4 Pm 0.167 0.833 0.500
5 Pm 0.833 0.167 0.500
6 Pa 0.500 0.500 0.500
7 N 0.109 0.418 0.255
8 N 0.273 0.273 0.748
9 N 0.418 0.109 0.255
10 N 0.582 0.891 0.745
11 N 0.727 0.727 0.252
12 N 0.891 0.582 0.745

Calculated values
The uncorrected formation energy is -1.5454 eV/atom. As for the size of the total moment: 0.002 μB/cell. The value obtained for the density of states at the Fermi level is 0.7453 states/eV per atom.